Record 1
The following is a DFT calculation (PBE-GGA) of a relaxed Ni2Br3 crystal.

It has space group Imm2 (No. 44), with a = 3.8593 Å, b = 11.8319 Å, c = 5.6592 Å, α = 90.00°, β = 90.00° and γ = 90.00°. The inequivalent atoms are Ni at (0.0000, 0.1614, 0.0000), Br at (0.0000, 0.0000, 0.2407) and Br at (0.0000, 0.3280, 0.2478).

The uncorrected energy is -3.413 eV/atom.

Record 2
The following is a DFT calculation (PBE-GGA) of a relaxed NiPb2Br6 crystal.

It has space group P2_1/c (No. 14), with a = 9.6819 Å, b = 6.7973 Å, c = 8.2598 Å, α = 90.00°, β = 90.77° and γ = 90.00°. The inequivalent atoms are Ni at (0.0000, 0.0000, 0.0000), Pb at (0.2788, 0.0418, 0.6218), Br at (0.0560, 0.2142, 0.3513), Br at (0.2295, 0.6138, 0.4775) and Br at (0.4424, 0.1540, 0.3294).

The uncorrected energy is -3.226 eV/atom.

Record 3
The following is a DFT calculation (PBE-GGA) of a relaxed Rb2NiPbBr6 crystal.

It has space group Fm-3m (No. 225), with a = 11.0576 Å, b = 11.0576 Å, c = 11.0576 Å, α = 90.00°, β = 90.00° and γ = 90.00°. The inequivalent atoms are Rb at (0.2500, 0.2500, 0.2500), Ni at (0.0000, 0.0000, 0.0000), Pb at (0.0000, 0.0000, 0.5000) and Br at (0.0000, 0.0000, 0.2315).

The uncorrected energy is -3.164 eV/atom.

Record 4
The following is a DFT calculation (PBE-GGA) of a relaxed Rb2NiPdBr6 crystal.

It has space group P4/mmm (No. 123), with a = 4.9707 Å, b = 4.9707 Å, c = 13.0033 Å, α = 90.00°, β = 90.00° and γ = 90.00°. The inequivalent atoms are Rb at (0.0000, 0.0000, 0.2269), Ni at (0.5000, 0.5000, 0.0000), Pd at (0.5000, 0.5000, 0.5000), Br at (0.0000, 0.0000, 0.0000), Br at (0.0000, 0.0000, 0.5000) and Br at (0.0000, 0.5000, 0.3706).

The uncorrected energy is -2.085 eV/atom.

Record 5
The following is a DFT calculation (PBE-GGA) of a relaxed Pr4NiBr5 crystal.

It has space group C2/m (No. 12), with a = 19.0629 Å, b = 4.0729 Å, c = 8.7666 Å, α = 90.00°, β = 104.07° and γ = 90.00°. The inequivalent atoms are Pr at (0.9997, 0.0000, 0.2168), Pr at (0.1516, 0.5000, 0.0879), Ni at (0.0000, 0.5000, 0.0000), Br at (0.0000, 0.5000, 0.5000), Br at (0.1660, 0.0000, 0.3470) and Br at (0.1727, 0.0000, 0.8389).

The uncorrected energy is -4.672 eV/atom.

Record 6
The following is a DFT calculation (PBE-GGA) of a relaxed Ni2PtBr8 crystal.

It has space group C2/m (No. 12), with a = 11.8959 Å, b = 9.7013 Å, c = 6.2380 Å, α = 90.00°, β = 98.27° and γ = 90.00°. The inequivalent atoms are Ni at (0.2128, 0.0000, 0.1586), Pt at (0.0000, 0.0000, 0.5000), Br at (0.0925, 0.1741, 0.2874), Br at (0.0965, 0.5000, 0.7674) and Br at (0.1852, 0.0000, 0.7752).

The uncorrected energy is -2.981 eV/atom.

Record 7
The following is a DFT calculation (PBE-GGA) of a relaxed Rb2NiPtBr6 crystal.

It has space group Fm-3m (No. 225), with a = 10.3648 Å, b = 10.3648 Å, c = 10.3648 Å, α = 90.00°, β = 90.00° and γ = 90.00°. The inequivalent atoms are Rb at (0.2500, 0.2500, 0.2500), Ni at (0.0000, 0.0000, 0.0000), Pt at (0.0000, 0.0000, 0.5000) and Br at (0.0000, 0.0000, 0.2466).

The uncorrected energy is -3.157 eV/atom.

Record 8
The following is a DFT calculation (PBE-GGA) of a relaxed Rb2NiBr5 crystal.

It has space group I4mm (No. 107), with a = 7.6458 Å, b = 7.6458 Å, c = 9.7398 Å, α = 90.00°, β = 90.00° and γ = 90.00°. The inequivalent atoms are Rb at (0.0000, 0.5000, 0.0000), Ni at (0.0000, 0.0000, 0.2213), Br at (0.0000, 0.0000, 0.9691) and Br at (0.2192, 0.2192, 0.2529).

The uncorrected energy is -3.007 eV/atom.

Record 9
The following is a DFT calculation (PBE-GGA) of a relaxed Rb2NiSnBr6 crystal.

It has space group Fm-3m (No. 225), with a = 10.8990 Å, b = 10.8990 Å, c = 10.8990 Å, α = 90.00°, β = 90.00° and γ = 90.00°. The inequivalent atoms are Rb at (0.2500, 0.2500, 0.2500), Ni at (0.0000, 0.0000, 0.0000), Sn at (0.0000, 0.0000, 0.5000) and Br at (0.0000, 0.0000, 0.2361).

The uncorrected energy is -3.169 eV/atom.

Record 10
The following is a DFT calculation (PBE-GGA) of a relaxed NiS6Br3 crystal.

It has space group R-3 (No. 148, hexagonal axes), with a = 6.9291 Å, b = 6.9291 Å, c = 16.9209 Å, α = 90.00°, β = 90.00° and γ = 120.00°. The inequivalent atoms are Ni at (0.0000, 0.0000, 0.0000), S at (0.0033, 0.6989, 0.9659), Br at (0.0000, 0.0000, 0.2106) and Br at (0.0000, 0.0000, 0.5000).

The uncorrected energy is -3.217 eV/atom.

Record 11
The following is a DFT calculation (PBE-GGA) of a relaxed NiSBr crystal.

It has space group Pmmn (No. 59, origin choice 2), with a = 3.3777 Å, b = 4.6982 Å, c = 8.0788 Å, α = 90.00°, β = 90.00° and γ = 90.00°. The inequivalent atoms are Ni at (0.2500, 0.2500, 0.1164), S at (0.2500, 0.7500, 0.0656) and Br at (0.2500, 0.7500, 0.6709).

The uncorrected energy is -4.096 eV/atom.

Record 12
The following is a DFT calculation (PBE-GGA) of a relaxed ScNi3Br crystal.

It has space group Cmcm (No. 63), with a = 6.7122 Å, b = 11.6421 Å, c = 6.7754 Å, α = 90.00°, β = 90.00° and γ = 90.00°. The inequivalent atoms are Sc at (0.0000, 0.0000, 0.0000), Ni at (0.0000, 0.1362, 0.2500), Ni at (0.2044, 0.0682, 0.7500) and Br at (0.0000, 0.3332, 0.2500).

The uncorrected energy is -4.333 eV/atom.